Record 1
The following is a DFT calculation (meta-GGA SCAN) of YPt2 at its PBEsol-relaxed geometry.

Lattice parameters (Å, degrees): 3.8436 3.8436 4.2343 90.00 90.00 90.00
Fractional positions:
Pt 0.5000 0.0000 0.5000
Pt 0.0000 0.5000 0.5000
Y 0.0000 0.0000 0.0000

Density of states at the Fermi level, states/eV/f.u.: 1.13
Space-group type: P4/mmm
Energy relative to the elements, eV/f.u.: -3.1

=====

Record 2
The following is a DFT calculation (meta-GGA SCAN) of K2Zr2O5 at its PBEsol-relaxed geometry.

Lattice parameters (Å, degrees): 5.8289 8.6986 10.7660 90.00 90.00 90.00
Fractional positions:
O 0.7500 0.8254 0.5000
O 0.9908 0.2500 0.7500
O 0.4908 0.7500 0.7500
O 0.5092 0.2500 0.2500
O 0.1272 0.4488 0.3935
O 0.6272 0.5512 0.3935
O 0.0092 0.7500 0.2500
O 0.2500 0.7428 0.0000
O 0.8728 0.9488 0.8935
O 0.2500 0.7572 0.5000
O 0.2500 0.3254 0.0000
O 0.3728 0.4488 0.6065
O 0.7500 0.6746 0.0000
O 0.1272 0.0512 0.1065
O 0.6272 0.9488 0.1065
O 0.7500 0.2428 0.5000
O 0.2500 0.1746 0.5000
O 0.8728 0.5512 0.6065
O 0.7500 0.2572 0.0000
O 0.3728 0.0512 0.8935
K 0.9359 0.4236 0.1665
K 0.4359 0.9236 0.3335
K 0.4359 0.5764 0.1665
K 0.9359 0.0764 0.3335
K 0.0641 0.5764 0.8335
K 0.5641 0.0764 0.6665
K 0.5641 0.4236 0.8335
K 0.0641 0.9236 0.6665
Zr 0.4680 0.3397 0.4236
Zr 0.0320 0.3397 0.5764
Zr 0.0320 0.1603 0.9236
Zr 0.9680 0.8397 0.0764
Zr 0.9680 0.6603 0.4236
Zr 0.5320 0.8397 0.9236
Zr 0.5320 0.6603 0.5764
Zr 0.4680 0.1603 0.0764

Energy relative to the elements, uncorrected, eV/atom: -3.11
Density of states at the Fermi level, states/eV/f.u.: 0.00
Space-group type: Pnna

=====

Record 3
The following is a DFT calculation (meta-GGA SCAN) of ReSbBr2 at its PBEsol-relaxed geometry.

Lattice parameters (Å, degrees): 3.1464 3.1464 8.7804 90.00 90.00 90.00
Fractional positions:
Sb 0.5000 0.5000 0.6972
Br 0.5000 0.5000 0.3171
Br 0.0000 0.0000 0.9855
Re 0.0000 0.0000 0.5002

Energy relative to the elements, uncorrected, eV/atom: 0.56
Density of states at the Fermi level, states/eV/f.u.: 2.65
Space-group type: P4mm

=====

Record 4
The following is a DFT calculation (meta-GGA SCAN) of SbMo2Br at its PBEsol-relaxed geometry.

Lattice parameters (Å, degrees): 4.6953 4.6953 4.6953 60.00 60.00 60.00
Each line ends with the local moment (μB).
Fractional positions:
Br 0.5000 0.5000 0.5000  0.05
Sb 0.7500 0.7500 0.7500  -0.01
Mo 0.0000 0.0000 0.0000  1.47
Mo 0.2500 0.2500 0.2500  -1.03

Energy relative to the elements, uncorrected, eV/atom: 1.11
Density of states at the Fermi level, states/eV/f.u.: 4.33
Space-group type: F-43m
ΔE to the lowest computed polymorph, meV/atom: 325.0

=====

Record 5
The following is a DFT calculation (meta-GGA SCAN) of Tb2Sn5Rh3 at its PBEsol-relaxed geometry.

Lattice parameters (Å, degrees): 4.3882 7.1237 13.2634 90.00 99.52 90.00
Fractional positions:
Sn 0.7056 0.0489 0.4112
Sn 0.0478 0.8997 0.0955
Sn 0.2908 0.9777 0.5816
Sn 0.2944 0.5489 0.5888
Sn 0.7092 0.4777 0.4184
Sn 0.9522 0.3997 0.9045
Sn 0.5967 0.6099 0.1935
Sn 0.4033 0.1099 0.8065
Sn 0.8798 0.7332 0.7596
Sn 0.1202 0.2332 0.2404
Tb 0.5240 0.2366 0.0480
Tb 0.8282 0.2582 0.6564
Tb 0.4760 0.7366 0.9520
Tb 0.1718 0.7582 0.3436
Rh 0.2228 0.2646 0.4455
Rh 0.3936 0.4835 0.7873
Rh 0.9500 0.0158 0.9001
Rh 0.0500 0.5158 0.0999
Rh 0.7772 0.7646 0.5545
Rh 0.6064 0.9835 0.2127

Density of states at the Fermi level, states/eV/f.u.: 4.11
Space-group type: Cmc2_1
Energy relative to the elements, eV/f.u.: -8.0

=====

Record 6
The following is a DFT calculation (meta-GGA SCAN) of EuGa3B4O12 at its PBEsol-relaxed geometry.

Lattice parameters (Å, degrees): 6.0292 6.0292 6.0292 104.06 104.06 104.06
Each line ends with the local moment (μB).
Fractional positions:
O 0.8543 0.1457 0.0000  0.03
O 0.0000 0.5911 0.4089  0.02
O 0.8733 0.4719 0.7148  0.04
O 0.5281 0.1267 0.2852  0.04
O 0.5911 0.4089 0.0000  0.02
O 0.4719 0.7148 0.8733  0.04
O 0.0000 0.8543 0.1457  0.03
O 0.7148 0.8733 0.4719  0.04
O 0.1457 0.0000 0.8543  0.03
O 0.4089 0.0000 0.5911  0.02
O 0.2852 0.5281 0.1267  0.04
O 0.1267 0.2852 0.5281  0.04
B 0.0000 0.0000 0.0000  0.00
B 0.0000 0.4451 0.5549  0.00
B 0.5549 0.0000 0.4451  0.00
B 0.4451 0.5549 0.0000  0.00
Ga 0.0517 0.9483 0.5000  0.00
Ga 0.5000 0.0517 0.9483  0.00
Ga 0.9483 0.5000 0.0517  0.00
Eu 0.5000 0.5000 0.5000  -6.28

Energy relative to the elements, uncorrected, eV/atom: -2.50
Density of states at the Fermi level, states/eV/f.u.: 10.01
Space-group type: R32